The following is a PBE+U calculation of crystalline FePO4 at its relaxed geometry, from Alexandria.

DFT total energy = -170.50 eV per cell
Total moment = 19.91 μB per cell

abc: 8.9620 5.3484 9.0551
angles: 90.00 107.94 90.00
Closest atoms and distances in Å follow each position.
Space group Pc (No. 7)
Unique sites:
Fe  0.0000  0.2125  0.0000  4 O 1.87-1.88
Fe  0.5005  0.2826  0.3908  4 O 1.87-1.89
P  0.3744  0.2136  0.0158  4 O 1.54-1.55
P  0.8738  0.2827  0.6254  4 O 1.54-1.55
O  0.2083  0.2891  0.0159  1 P 1.54
O  0.3700  0.0560  0.4531  1 P 1.55
O  0.4304  0.3908  0.9090  1 P 1.54
O  0.4896  0.2298  0.1823  1 P 1.55
O  0.7087  0.2343  0.5127  1 P 1.54
O  0.8711  0.2290  0.7922  1 P 1.54
O  0.9233  0.4427  0.1165  1 P 1.54
O  0.9923  0.1085  0.5831  1 P 1.55